Record 1
# TmMg2Sc SCAN single point on PBEsol structure
# * energy relative to the elements: -41 meV per atom
# * volume: 96 Å³ per cell
# * SG: Fm-3m, No. 225
data_TmMg2Sc
_chemical_formula_sum 'Tm1 Mg2 Sc1'
_cell_length_a 5.1400
_cell_length_b 5.1400
_cell_length_c 5.1400
_cell_angle_alpha 60.00
_cell_angle_beta 60.00
_cell_angle_gamma 60.00
_space_group_name_H-M_alt 'P 1'
_space_group_IT_number 1
_space_group_name_Hall 'P 1'
loop_
_atom_site_label
_atom_site_type_symbol
_atom_site_fract_x
_atom_site_fract_y
_atom_site_fract_z
_atom_site_occupancy
Tm1 Tm 0.0000 0.0000 0.0000 1
Mg1 Mg 0.2500 0.2500 0.2500 1
Mg2 Mg 0.7500 0.7500 0.7500 1
Sc1 Sc 0.5000 0.5000 0.5000 1

Record 2
# BaSbMo2F SCAN single point on PBEsol structure
# * volume: 98 Å³ per cell
# * SG: P4/mmm, No. 123
# * E_form (uncorrected): 0.426 eV per atom
data_BaSbMo2F
_chemical_formula_sum 'Ba1 Sb1 Mo2 F1'
_cell_length_a 4.9550
_cell_length_b 4.4493
_cell_length_c 4.4493
_cell_angle_alpha 90.00
_cell_angle_beta 90.00
_cell_angle_gamma 90.00
_space_group_name_H-M_alt 'P 1'
_space_group_IT_number 1
_space_group_name_Hall 'P 1'
loop_
_atom_site_label
_atom_site_type_symbol
_atom_site_fract_x
_atom_site_fract_y
_atom_site_fract_z
_atom_site_occupancy
Mo1 Mo 0.0000 0.5000 0.0000 1
Mo2 Mo 0.0000 0.0000 0.5000 1
Ba1 Ba 0.5000 0.0000 0.0000 1
Sb1 Sb 0.5000 0.5000 0.5000 1
F1 F 0.0000 0.0000 0.0000 1